No. 1
Material: SrLi3Pr2Sn3
Method: DFT, GGA-PBE
State: optimized geometry

Summary:
Crystal system: hexagonal
Uncorrected energy (eV/atom): -3.838

a = 4.8689 Å, b = 4.8689 Å, c = 11.7131 Å
α = 90.00°, β = 90.00°, γ = 120.00°
Space group P-6m2 (No. 187)
Symmetry-distinct sites (fractional):
Sr (0.0000, 0.0000, 0.0000) x1
Li (0.3333, 0.6667, 0.1930) x2
Li (0.6667, 0.3333, 0.5000) x1
Pr (0.0000, 0.0000, 0.3350) x2
Sn (0.3333, 0.6667, 0.5000) x1
Sn (0.6667, 0.3333, 0.1906) x2

No. 2
Material: TmTlAsO
Method: DFT, GGA-PBE
State: optimized geometry

Summary:
Crystal system: orthorhombic
Uncorrected energy (eV/atom): -5.459

a = 3.440 Å, b = 9.951 Å, c = 5.793 Å
α = 90.00°, β = 90.00°, γ = 90.00°
Space group Pmc2_1 (No. 26)
Symmetry-distinct sites (fractional):
Tm (0.000, 0.167, 0.000) x2
Tl (0.500, 0.383, 0.555) x2
As (0.000, 0.125, 0.496) x2
O (0.500, 0.280, 0.977) x2

No. 3
Material: BeHgBi
Method: DFT, GGA-PBE
State: optimized geometry

Summary:
Crystal system: cubic
Uncorrected energy (eV/atom): -2.338

a = 6.469 Å, b = 6.469 Å, c = 6.469 Å
α = 90.00°, β = 90.00°, γ = 90.00°
Space group F-43m (No. 216)
Symmetry-distinct sites (fractional):
Be (0.000, 0.000, 0.000) x4
Hg (0.250, 0.250, 0.250) x4
Bi (0.250, 0.250, 0.750) x4

No. 4
Material: HfGaTe
Method: DFT, GGA-PBE
State: optimized geometry

Summary:
Crystal system: cubic
Uncorrected energy (eV/atom): -5.139

a = 6.755 Å, b = 6.755 Å, c = 6.755 Å
α = 90.00°, β = 90.00°, γ = 90.00°
Space group F-43m (No. 216)
Symmetry-distinct sites (fractional):
Hf (0.000, 0.000, 0.000) x4
Ga (0.000, 0.000, 0.500) x4
Te (0.250, 0.250, 0.750) x4

No. 5
Material: FeBAs
Method: DFT, GGA-PBE
State: optimized geometry

Summary:
Crystal system: cubic
Uncorrected energy (eV/atom): -5.930

a = 5.189 Å, b = 5.189 Å, c = 5.189 Å
α = 90.00°, β = 90.00°, γ = 90.00°
Space group F-43m (No. 216)
Symmetry-distinct sites (fractional):
Fe (0.000, 0.000, 0.000) x4
B (0.250, 0.250, 0.750) x4
As (0.000, 0.000, 0.500) x4

No. 6
Material: PmTmNO
Method: DFT, GGA-PBE
State: optimized geometry

Summary:
Crystal system: tetragonal
Uncorrected energy (eV/atom): -7.462

a = 4.389 Å, b = 4.389 Å, c = 8.349 Å
α = 90.00°, β = 90.00°, γ = 90.00°
Space group P4/nmm (No. 129, origin choice 2)
Symmetry-distinct sites (fractional):
Pm (0.250, 0.250, 0.107) x2
Tm (0.250, 0.750, 0.500) x2
N (0.250, 0.250, 0.565) x2
O (0.250, 0.750, 0.000) x2

No. 7
Material: Lu2ZnSb
Method: DFT, GGA-PBE
State: optimized geometry

Summary:
Crystal system: cubic
Uncorrected energy (eV/atom): -3.598

a = 7.312 Å, b = 7.312 Å, c = 7.312 Å
α = 90.00°, β = 90.00°, γ = 90.00°
Space group F-43m (No. 216)
Symmetry-distinct sites (fractional):
Lu (0.000, 0.000, 0.000) x4
Lu (0.250, 0.250, 0.250) x4
Zn (0.250, 0.250, 0.750) x4
Sb (0.000, 0.000, 0.500) x4

No. 8
Material: Sr2SnHg
Method: DFT, GGA-PBE
State: optimized geometry

Summary:
Crystal system: orthorhombic
Uncorrected energy (eV/atom): -2.521

a = 8.005 Å, b = 8.091 Å, c = 8.092 Å
α = 90.00°, β = 90.00°, γ = 90.00°
Space group Imma (No. 74)
Symmetry-distinct sites (fractional):
Sr (0.249, 0.000, 0.000) x8
Sn (0.000, 0.250, 0.251) x4
Hg (0.000, 0.250, 0.748) x4

No. 9
Material: Dy2HoMg3InGa2
Method: DFT, GGA-PBE
State: optimized geometry

Summary:
Crystal system: orthorhombic
Uncorrected energy (eV/atom): -3.484

a = 4.549 Å, b = 12.652 Å, c = 7.317 Å
α = 90.00°, β = 90.00°, γ = 90.00°
Space group Amm2 (No. 38)
Symmetry-distinct sites (fractional):
Dy (0.000, 0.219, 0.000) x4
Ho (0.000, 0.000, 0.344) x2
Mg (0.500, 0.000, 0.031) x2
Mg (0.500, 0.125, 0.656) x4
In (0.000, 0.000, 0.780) x2
Ga (0.500, 0.166, 0.281) x4

No. 10
Material: NbNiBiMo
Method: DFT, GGA-PBE
State: optimized geometry

Summary:
Crystal system: cubic
Uncorrected energy (eV/atom): -7.217

a = 6.533 Å, b = 6.533 Å, c = 6.533 Å
α = 90.00°, β = 90.00°, γ = 90.00°
Space group F-43m (No. 216)
Symmetry-distinct sites (fractional):
Nb (0.000, 0.000, 0.000) x4
Ni (0.250, 0.250, 0.750) x4
Bi (0.000, 0.000, 0.500) x4
Mo (0.250, 0.250, 0.250) x4

No. 11
Material: NdS
Method: DFT, GGA-PBE
State: optimized geometry

Summary:
Crystal system: cubic
Uncorrected energy (eV/atom): -6.002

a = 6.360 Å, b = 6.360 Å, c = 6.360 Å
α = 90.00°, β = 90.00°, γ = 90.00°
Space group F-43m (No. 216)
Symmetry-distinct sites (fractional):
Nd (0.000, 0.000, 0.000) x4
S (0.250, 0.250, 0.750) x4

No. 12
Material: Cd2PtAu
Method: DFT, GGA-PBE
State: optimized geometry

Summary:
Energy relative to the elements (meV per atom): -159
Crystal system: cubic
Uncorrected energy (eV/atom): -2.937

a = 6.635 Å, b = 6.635 Å, c = 6.635 Å
α = 90.00°, β = 90.00°, γ = 90.00°
Space group F-43m (No. 216)
Symmetry-distinct sites (fractional):
Cd (0.000, 0.000, 0.000) x4
Cd (0.250, 0.250, 0.250) x4
Pt (0.000, 0.000, 0.500) x4
Au (0.250, 0.250, 0.750) x4